Material: Ho2AlGaNi6
Method: DFT, PBE
State: relaxed

- total energy (eV/atom) = -5.2742
- formation energy from the elements (eV per atom) = -0.2129
- DOS at the Fermi energy (states/eV/cell) = 5.2

a = 5.185 Å, b = 7.976 Å, c = 5.183 Å
α = 70.90°, β = 59.96°, γ = 89.89°
Fractional coordinates of all 10 atoms:
Ni  0.750  0.251  0.999
Ni  0.752  0.749  0.500
Ni  0.248  0.251  0.500
Ho  0.708  0.127  0.583
Ni  0.752  0.748  0.002
Ni  0.248  0.252  0.998
Ho  0.292  0.873  0.417
Ni  0.250  0.749  0.001
Ga  0.000  0.000  0.000
Al  0.500  0.500  0.000


Material: Y2PbAu
Method: DFT, PBE
State: relaxed

- total energy (eV/atom) = -5.5954
- formation energy from the elements (eV per atom) = -0.6170
- DOS at the Fermi energy (states/eV/cell) = 3.7

a = 8.278 Å, b = 5.165 Å, c = 3.892 Å
α = 89.97°, β = 62.01°, γ = 128.64°
Fractional coordinates of all 4 atoms:
Pb  0.500  0.500  0.000
Y  0.000  0.000  0.000
Au  0.000  0.500  0.500
Y  0.500  0.000  0.500


Material: CsFeSe3
Method: DFT, PBE
State: relaxed

- total energy (eV/atom) = -2.3575
- formation energy without anion corrections (eV per formula unit) = 7.982
- DOS at the Fermi energy (states/eV/cell) = 17.8

a = 5.804 Å, b = 5.804 Å, c = 5.804 Å
α = 90.00°, β = 90.00°, γ = 90.00°
Fractional coordinates of all 5 atoms:
Se  0.000  0.500  0.000
Cs  0.000  0.000  0.000
Fe  0.500  0.500  0.500
Se  0.000  0.000  0.500
Se  0.500  0.000  0.000


no.,V (Å³ per atom)
1,17.18
2,25.96
3,39.11